one:
The following is a GGA-PBE calculation of crystalline LaTbNd3 at its relaxed geometry, from Alexandria via LeMat-Bulk.

abc: 9.7144 9.7144 10.3868
angles: 105.50 105.50 21.79
Fractional coordinates of all 10 atoms:
La1 0.1006 0.1006 0.0520
La2 0.8994 0.8994 0.9480
Tb1 0.2987 0.2987 0.6450
Tb2 0.7013 0.7013 0.3550
Nd1 0.1009 0.1009 0.5486
Nd2 0.2983 0.2983 0.1532
Nd3 0.5001 0.5001 0.2519
Nd4 0.4999 0.4999 0.7481
Nd5 0.7017 0.7017 0.8468
Nd6 0.8991 0.8991 0.4514

Summary:
magnetization = 0.0000 μB/atom

two:
The following is a GGA-PBE calculation of crystalline LaTbNd3 at its relaxed geometry, from Alexandria via LeMat-Bulk.

abc: 9.5289 9.5289 6.1143
angles: 108.62 108.62 42.51
Fractional coordinates of all 10 atoms:
La1 0.0000 0.0000 0.0000
La2 0.0000 0.0000 0.5000
Tb1 0.4500 0.4500 0.7000
Tb2 0.5500 0.5500 0.3000
Nd1 0.1137 0.5801 0.0971
Nd2 0.2272 0.2272 0.4765
Nd3 0.4199 0.8863 0.9029
Nd4 0.5801 0.1137 0.0971
Nd5 0.7728 0.7728 0.5235
Nd6 0.8863 0.4199 0.9029

Summary:
magnetization = 0.0000 μB/atom

Among the structures shown above, one is the most stable, with the second-best lying 159 meV/atom higher.